Record 1
An optimized crystal structure of U, computed with PBE.

Cell: 2.789 3.238 4.892 Å, 90.00 90.00 64.49°
Sites, in units of the cell vectors:
U 0.098 0.805 0.750
U 0.902 0.195 0.250

Record 2
An optimized crystal structure of U, computed with PBE.

Cell: 3.825 3.823 5.729 Å, 70.51 90.00 90.00°
Sites, in units of the cell vectors:
U 0.999 0.621 0.757
U 0.001 0.379 0.243
U 0.499 0.879 0.243
U 0.501 0.121 0.757

no.,offset from the most stable computed form (meV/atom),formation energy from the elements (eV per atom),size of the total moment (μB/f.u.)
1,4.3,0.00,0.0
2,96.3,0.10,0.0